! InSI (PBE, optimized geometry); values from VASP
! total moment	0.00	μB per formula unit
! crystal system	trigonal
! energy relative to the elements, uncorrected	-0.49	eV per atom
&SYSTEM
  ibrav = 0, nat = 3, ntyp = 3
/
ATOMIC_SPECIES
In 114.82 In.upf
S 32.06 S.upf
I 126.90 I.upf
CELL_PARAMETERS angstrom
3.986 0.000 0.000
-1.993 3.452 0.000
0.000 0.000 7.056
ATOMIC_POSITIONS crystal
In 0.000 0.000 0.000
S 0.667 0.333 0.167
I 0.333 0.667 0.707